(1)
YTm12Sc6, relaxed, DFT PBE; E above lowest polymorph = 0 meV per atom; energy = -4.76 eV/atom; space group = R-3m; ΔE_f = 404 meV per atom; size of the total moment = 0.00 μB per formula unit; N(E_F) = 1.176 states/eV per atom
1.0
8.4055 0.4747 0.6686
-1.6237 8.2608 0.6686
-1.6237 -2.0914 8.0196
Y Tm Sc
1 12 6
Direct
0.0000 0.0000 0.0000 Y
0.8769 0.1231 0.5000 Tm
0.8098 0.5282 0.5282 Tm
0.5282 0.5282 0.8098 Tm
0.4718 0.1902 0.4718 Tm
0.4718 0.4718 0.1902 Tm
0.1902 0.4718 0.4718 Tm
0.1231 0.5000 0.8769 Tm
0.5000 0.8769 0.1231 Tm
0.1231 0.8769 0.5000 Tm
0.8769 0.5000 0.1231 Tm
0.5000 0.1231 0.8769 Tm
0.5282 0.8098 0.5282 Tm
0.7361 0.1927 0.1927 Sc
0.1927 0.1927 0.7361 Sc
0.1927 0.7361 0.1927 Sc
0.8073 0.8073 0.2639 Sc
0.2639 0.8073 0.8073 Sc
0.8073 0.2639 0.8073 Sc

---

(2)
Y7Tm3Sc, relaxed, DFT PBE; E above lowest polymorph = 52 meV per atom; energy = -5.65 eV/atom; space group = Immm; ΔE_f = 262 meV per atom; size of the total moment = 0.48 μB per formula unit; N(E_F) = 1.384 states/eV per atom
1.0
1.7060 -0.3125 -8.1871
5.7081 -6.0923 0.5819
-2.0719 -4.8069 -2.2227
Y Tm Sc
7 3 1
Direct
0.7874 0.7874 0.2128 Y
0.3986 0.9833 0.3090 Y
0.0167 0.6014 0.6910 Y
0.9833 0.3986 0.3090 Y
0.5000 0.5000 0.0000 Y
0.6014 0.0167 0.6910 Y
0.2126 0.2126 0.7872 Y
0.7946 0.2054 0.0000 Tm
0.0000 0.0000 0.5000 Tm
0.2054 0.7946 0.0000 Tm
0.5000 0.5000 0.5000 Sc

---

(3)
Y7TmSc2, relaxed, DFT PBE; energy = -5.99 eV/atom; space group = Cmmm; ΔE_f = 244 meV per atom; size of the total moment = 0.00 μB per formula unit; N(E_F) = 1.892 states/eV per atom
1.0
-2.8453 0.7983 1.6863
-7.5665 -0.3978 -12.5782
5.6867 -5.6852 12.2866
Y Tm Sc
7 1 2
Direct
0.0000 0.6940 0.3060 Y
0.0000 0.3060 0.6940 Y
0.5000 0.1410 0.3440 Y
0.5000 0.8590 0.6560 Y
0.5000 0.3440 0.1410 Y
0.5000 0.6560 0.8590 Y
0.5000 0.5000 0.5000 Y
0.0000 0.0000 0.0000 Tm
0.5000 0.7947 0.2053 Sc
0.5000 0.2053 0.7947 Sc

---

(4)
YTm2Sc, relaxed, DFT PBE; E above lowest polymorph = 22 meV per atom; energy = -5.38 eV/atom; space group = R-3m; ΔE_f = 51 meV per atom; size of the total moment = 0.00 μB per formula unit; N(E_F) = 1.709 states/eV per atom
1.0
-1.6016 1.8205 2.4737
-3.3316 0.8715 -0.3731
-4.7059 -8.6478 5.7426
Y Sc Tm
1 1 2
Direct
0.5000 0.5000 0.5000 Y
0.0000 0.0000 0.0000 Sc
0.7466 0.7466 0.7601 Tm
0.2534 0.2534 0.2399 Tm